# 1
DFT (PBE-GGA) results for CaLa2Zr after structural relaxation.

Unit cell a=3.539 b=5.180 c=7.132 alpha=90.00 beta=90.00 gamma=90.00
Space group Pmm2 (No. 25)
Unique sites:
Ca (0.000, 0.000, 0.000)
La (0.000, 0.000, 0.528)
La (0.500, 0.500, 0.282)
Zr (0.500, 0.500, 0.748)

Formation enthalpy at 0 K = 0.2194 eV per atom
Energy relative to the lowest polymorph listed for this composition = 9.5 kJ/mol of atoms
Crystal system = orthorhombic
Total moment = 0.000 μB/cell



# 2
DFT (PBE-GGA) results for Ca2LaZr after structural relaxation.

Unit cell a=12.447 b=3.575 c=6.048 alpha=90.00 beta=101.12 gamma=90.00
Space group C2/m (No. 12)
Unique sites:
Ca (0.240, 0.000, 0.236)
La (0.000, 0.000, 0.500)
Zr (0.000, 0.500, 0.000)

Formation enthalpy at 0 K = 0.2779 eV per atom
Energy relative to the lowest polymorph listed for this composition = 9.7 kJ/mol of atoms
Crystal system = monoclinic
Total moment = 0.002 μB/cell



# 3
DFT (PBE-GGA) results for CaLa2Zr after structural relaxation.

Unit cell a=5.026 b=5.026 c=10.309 alpha=90.00 beta=90.00 gamma=90.00
Space group I-4m2 (No. 119)
Unique sites:
Ca (0.000, 0.000, 0.000)
La (0.000, 0.000, 0.500)
La (0.000, 0.500, 0.750)
Zr (0.000, 0.500, 0.250)

Formation enthalpy at 0 K = 0.2529 eV per atom
Energy relative to the lowest polymorph listed for this composition = 12.7 kJ/mol of atoms
Crystal system = tetragonal
Total moment = 0.003 μB/cell



# 4
DFT (PBE-GGA) results for CaLa2Zr after structural relaxation.

Unit cell a=3.686 b=4.614 c=7.965 alpha=90.00 beta=90.00 gamma=90.00
Space group Pmmm (No. 47)
Unique sites:
Ca (0.000, 0.000, 0.000)
La (0.500, 0.500, 0.285)
Zr (0.000, 0.000, 0.500)

Formation enthalpy at 0 K = 0.1650 eV per atom
Energy relative to the lowest polymorph listed for this composition = 4.2 kJ/mol of atoms
Crystal system = orthorhombic
Total moment = 0.000 μB/cell



# 5
DFT (PBE-GGA) results for Ca2LaZr after structural relaxation.

Unit cell a=3.721 b=5.758 c=6.180 alpha=90.00 beta=90.00 gamma=90.00
Space group Pmmm (No. 47)
Unique sites:
Ca (0.000, 0.000, 0.000)
Ca (0.500, 0.500, 0.000)
La (0.000, 0.500, 0.500)
Zr (0.500, 0.000, 0.500)

Formation enthalpy at 0 K = 0.3164 eV per atom
Energy relative to the lowest polymorph listed for this composition = 13.4 kJ/mol of atoms
Crystal system = orthorhombic
Total moment = 0.649 μB/cell



# 6
DFT (PBE-GGA) results for CaLaZr after structural relaxation.

Unit cell a=3.5294 b=3.5294 c=8.8975 alpha=90.00 beta=90.00 gamma=120.00
Space group P3m1 (No. 156)
Unique sites:
Ca (0.0000, 0.0000, 0.0000)
La (0.6667, 0.3333, 0.3840)
Zr (0.3333, 0.6667, 0.6816)

Formation enthalpy at 0 K = 0.2290 eV per atom
Energy relative to the lowest polymorph listed for this composition = 3.9 kJ/mol of atoms
Crystal system = trigonal
Total moment = 0.001 μB/cell



# 7
DFT (PBE-GGA) results for Ca2LaZr after structural relaxation.

Unit cell a=3.471 b=3.471 c=11.080 alpha=90.00 beta=90.00 gamma=90.00
Space group P4/mmm (No. 123)
Unique sites:
Ca (0.000, 0.000, 0.223)
La (0.500, 0.500, 0.500)
Zr (0.500, 0.500, 0.000)

Formation enthalpy at 0 K = 0.3034 eV per atom
Energy relative to the lowest polymorph listed for this composition = 12.1 kJ/mol of atoms
Crystal system = tetragonal
Total moment = 0.002 μB/cell



# 8
DFT (PBE-GGA) results for CaLa2Zr after structural relaxation.

Unit cell a=3.527 b=3.527 c=10.686 alpha=90.00 beta=90.00 gamma=90.00
Space group P4mm (No. 99)
Unique sites:
Ca (0.000, 0.000, 0.000)
La (0.000, 0.000, 0.548)
La (0.500, 0.500, 0.287)
Zr (0.500, 0.500, 0.763)

Formation enthalpy at 0 K = 0.1992 eV per atom
Energy relative to the lowest polymorph listed for this composition = 7.5 kJ/mol of atoms
Crystal system = tetragonal
Total moment = 0.001 μB/cell